No. 1
The following is a GGA+U calculation of a relaxed structure of LiMn2AgF6, from the Alexandria database.

Unit cell a=5.8632 b=5.8632 c=5.8632 alpha=56.90 beta=56.90 gamma=56.90
Closest atoms and distances in Å follow each position.
Positions (direct):
1 Li 0.0000 0.0000 0.0000  6 F 2.08-2.19
2 Mn 0.2063 0.2063 0.2063  6 F 2.13-2.19
3 Mn 0.6926 0.6926 0.6926  6 F 2.13-2.17
4 Ag 0.4665 0.4665 0.4665  3 F 2.33
5 F 0.0395 0.4119 0.8579  2 Mn 2.13-2.19, 1 Li 2.19, 1 Ag 2.33
6 F 0.2912 0.9425 0.6024  1 Li 2.08, 2 Mn 2.13-2.17
7 F 0.4119 0.8579 0.0395  2 Mn 2.13-2.19, 1 Li 2.19, 1 Ag 2.33
8 F 0.6024 0.2912 0.9425  1 Li 2.08, 2 Mn 2.13-2.17
9 F 0.8579 0.0395 0.4119  2 Mn 2.13-2.19, 1 Li 2.19, 1 Ag 2.33
10 F 0.9425 0.6024 0.2912  1 Li 2.08, 2 Mn 2.13-2.17

Computed properties:
**Uncorrected energy**: -5.465 eV per atom
**SG**: No. 146
**Magnetization**: 1.00 μB per atom

No. 2
The following is a GGA+U calculation of a relaxed structure of LiMnAg2F6, from the Alexandria database.

Unit cell a=5.7225 b=5.6439 c=9.6686 alpha=90.00 beta=124.99 gamma=90.00
Closest atoms and distances in Å follow each position.
Positions (direct):
1 Li 0.0000 0.0000 0.0000  6 F 1.99-2.21
2 Li 0.0000 0.5000 0.5000  6 F 1.99-2.21
3 Mn 0.5000 0.0000 0.5000  6 F 1.91-2.13
4 Mn 0.5000 0.5000 0.0000  6 F 1.91-2.13
5 Ag 0.2339 0.0278 0.7421  5 F 2.42-2.64
6 Ag 0.2339 0.4722 0.2421  5 F 2.42-2.64
7 Ag 0.7661 0.5278 0.7579  5 F 2.42-2.64
8 Ag 0.7661 0.9722 0.2579  5 F 2.42-2.64
9 F 0.1657 0.2111 0.4696  1 Li 1.99, 1 Mn 2.13
10 F 0.1657 0.2889 0.9696  1 Li 1.99, 1 Mn 2.13
11 F 0.2873 0.7200 0.4702  1 Mn 1.91
12 F 0.2873 0.7800 0.9702  1 Mn 1.91
13 F 0.3233 0.0162 0.2628  1 Mn 1.91, 1 Li 2.12
14 F 0.3233 0.4838 0.7628  1 Mn 1.91, 1 Li 2.12
15 F 0.6767 0.5162 0.2372  1 Mn 1.91, 1 Li 2.12
16 F 0.6767 0.9838 0.7372  1 Mn 1.91, 1 Li 2.12
17 F 0.7127 0.2200 0.0298  1 Mn 1.91
18 F 0.7127 0.2800 0.5298  1 Mn 1.91
19 F 0.8343 0.7111 0.0304  1 Li 1.99, 1 Mn 2.13
20 F 0.8343 0.7889 0.5304  1 Li 1.99, 1 Mn 2.13

Computed properties:
**Uncorrected energy**: -4.603 eV per atom
**SG**: No. 14
**Magnetization**: 0.39 μB per atom

No. 3
The following is a GGA+U calculation of a relaxed structure of LiMnAgF6, from the Alexandria database.

Unit cell a=4.9403 b=4.9403 c=9.7785 alpha=90.00 beta=90.00 gamma=90.00
Closest atoms and distances in Å follow each position.
Positions (direct):
1 Li 0.0000 0.0000 0.0000  6 F 2.14-2.23
2 Li 0.5000 0.5000 0.5000  6 F 2.14-2.23
3 Mn 0.0000 0.0000 0.6627  6 F 1.87-1.90
4 Mn 0.5000 0.5000 0.1627  6 F 1.87-1.90
5 Ag 0.0000 0.0000 0.3260  6 F 2.28-2.41
6 Ag 0.5000 0.5000 0.8260  6 F 2.28-2.41
7 F 0.1751 0.1751 0.8096  1 Mn 1.89
8 F 0.1958 0.1958 0.5286  1 Mn 1.90
9 F 0.2320 0.2320 0.1534  1 Mn 1.87
10 F 0.2680 0.7320 0.6534  1 Mn 1.87
11 F 0.3042 0.6958 0.0286  1 Mn 1.90
12 F 0.3249 0.6751 0.3096  1 Mn 1.89
13 F 0.6751 0.3249 0.3096  1 Mn 1.89
14 F 0.6958 0.3042 0.0286  1 Mn 1.90
15 F 0.7320 0.2680 0.6534  1 Mn 1.87
16 F 0.7680 0.7680 0.1534  1 Mn 1.87
17 F 0.8042 0.8042 0.5286  1 Mn 1.90
18 F 0.8249 0.8249 0.8096  1 Mn 1.89

Computed properties:
**Uncorrected energy**: -4.726 eV per atom
**SG**: No. 102
**Magnetization**: 0.33 μB per atom